Here is a relaxed structure of LiCeSnOs from the Alexandria database. Energies are from GGA-PBE.

Cell lengths 6.7491, 6.7491, 6.7491 Å; angles 90.00, 90.00, 90.00 degrees
Space group F-43m (No. 216)
Unique sites:
Li 0.0000 0.0000 0.0000 (multiplicity 4)
Ce 0.2500 0.2500 0.7500 (multiplicity 4)
Sn 0.2500 0.2500 0.2500 (multiplicity 4)
Os 0.0000 0.0000 0.5000 (multiplicity 4)

ρ   9.85 Mg/m³
Spin magnetization   0.000 μB per atom
Energy of formation   -0.249 eV/atom
Volume   19.2 Å³ per atom